Entry 1:
The following is a DFT calculation (PBE) of a relaxed Ho2ZnSiGe crystal.

Cell: 4.0663 7.5556 7.2506 Å, 111.80 90.00 90.00°
Closest atoms and distances in Å follow each position.
Positions (direct):
Ho 0.7500 0.6981 0.0584  3 Ge 2.91-3.05, 3 Si 2.92-3.14
Ho 0.7500 0.9012 0.6286  3 Ge 2.91-3.12, 3 Si 3.00-3.17, 1 Zn 3.20
Ho 0.2500 0.0988 0.3714  3 Ge 2.91-3.12, 3 Si 3.00-3.17, 1 Zn 3.20
Ho 0.2500 0.3019 0.9416  3 Ge 2.91-3.05, 3 Si 2.92-3.14
Zn 0.7500 0.4583 0.3517  1 Ge 2.60, 3 Si 2.61-2.78, 2 Zn 2.86
Zn 0.2500 0.5417 0.6483  1 Ge 2.60, 3 Si 2.61-2.78, 2 Zn 2.86
Si 0.7500 0.3326 0.6660  3 Zn 2.61-2.78
Si 0.2500 0.6674 0.3340  3 Zn 2.61-2.78
Ge 0.7500 0.1123 0.0894  1 Zn 2.60, 2 Ge 2.66, 2 Ho 2.91
Ge 0.2500 0.8877 0.9106  1 Zn 2.60, 2 Ge 2.66, 2 Ho 2.91

**Formation energy (no corrections)**: -581 meV/atom
**Total magnetic moment**: 0.00 Bohr magnetons per cell
**Fermi-level density of states**: 0.5830 states/eV per atom
**Total DFT energy (no corrections)**: -46.75 eV per cell
**ρ**: 7.96 g/cm3

Entry 2:
The following is a DFT calculation (PBE) of a relaxed SmHoGe4 crystal.

Cell: 5.6572 5.6572 5.6572 Å, 60.00 60.00 60.00°
Closest atoms and distances in Å follow each position.
Positions (direct):
Ho 0.2500 0.2500 0.2500  12 Ge 3.31, 4 Sm 3.46
Ge 0.6242 0.1274 0.6242  6 Ge 2.81-2.85
Ge 0.6242 0.6242 0.1274  6 Ge 2.81-2.85
Ge 0.1274 0.6242 0.6242  6 Ge 2.81-2.85
Ge 0.6242 0.6242 0.6242  6 Ge 2.81-2.85
Sm 0.0000 0.0000 0.0000  12 Ge 3.32, 4 Ho 3.46

**Total magnetic moment**: 0.00 Bohr magnetons per cell
**Fermi-level density of states**: 1.1576 states/eV per atom
**Total DFT energy (no corrections)**: -29.70 eV per cell
**Formation enthalpy at 0 K**: -0.32 eV/atom
**ρ**: 7.86 g/cm3